Entry 1:
Below is a relaxed CdNi3Hg crystal, with properties calculated at the PBE level.

The structure in extended XYZ format:
```
5
Lattice="4.7430 0.0000 0.0000 0.0000 4.7430 0.0000 0.0000 0.0000 4.7430" Properties=species:S:1:pos:R:3 pbc="T T T"
Cd 0.0000 0.0000 0.0000
Ni 0.0000 2.3715 2.3715
Ni 2.3715 0.0000 2.3715
Ni 2.3715 2.3715 0.0000
Hg 2.3715 2.3715 2.3715
```

Results
Formation energy = 5.772 eV/f.u.
E = -12.79 eV/cell
Crystal system = cubic
V = 106.7 Å³/f.u.
SG = Pm-3m, No. 221
Magnetic moment = 0.0 μB per cell

---

Entry 2:
Below is a relaxed Sr2SbMo crystal, with properties calculated at the PBE level.

The structure in extended XYZ format:
```
12
Lattice="3.6245 0.0000 0.0000 -1.8122 3.1389 0.0000 0.0000 0.0000 31.3729" Properties=species:S:1:pos:R:3 pbc="T T T"
Sr 0.0000 0.0000 7.6881
Sr 0.0000 0.0000 23.6848
Sr 0.0000 2.0926 13.2272
Sr 0.0000 2.0926 28.6033
Sr 1.8122 1.0463 2.7696
Sr 1.8122 1.0463 18.1457
Sb 0.0000 0.0000 0.0000
Sb 0.0000 2.0926 20.9153
Sb 1.8122 1.0463 10.4576
Mo 0.0000 0.0000 15.6865
Mo 0.0000 2.0926 5.2288
Mo 1.8122 1.0463 26.1441
```

Results
E = -48.16 eV/cell
Crystal system = trigonal
V = 119.0 Å³/f.u.
SG = R-3m, No. 166
Energy relative to the elements, uncorrected = 566 meV/atom
Magnetic moment = 5.7 μB per cell

---

The highest E belongs to which entry?
CdNi3Hg

---

Look up the V of the second one.
119.0 Å³/f.u.

---

Repeat the first record exactly.
Below is a relaxed CdNi3Hg crystal, with properties calculated at the PBE level.

The structure in extended XYZ format:
```
5
Lattice="4.7430 0.0000 0.0000 0.0000 4.7430 0.0000 0.0000 0.0000 4.7430" Properties=species:S:1:pos:R:3 pbc="T T T"
Cd 0.0000 0.0000 0.0000
Ni 0.0000 2.3715 2.3715
Ni 2.3715 0.0000 2.3715
Ni 2.3715 2.3715 0.0000
Hg 2.3715 2.3715 2.3715
```

Results
Formation energy = 5.772 eV/f.u.
E = -12.79 eV/cell
Crystal system = cubic
V = 106.7 Å³/f.u.
SG = Pm-3m, No. 221
Magnetic moment = 0.0 μB per cell

---

Please write out number 2 again, unchanged.
Below is a relaxed Sr2SbMo crystal, with properties calculated at the PBE level.

The structure in extended XYZ format:
```
12
Lattice="3.6245 0.0000 0.0000 -1.8122 3.1389 0.0000 0.0000 0.0000 31.3729" Properties=species:S:1:pos:R:3 pbc="T T T"
Sr 0.0000 0.0000 7.6881
Sr 0.0000 0.0000 23.6848
Sr 0.0000 2.0926 13.2272
Sr 0.0000 2.0926 28.6033
Sr 1.8122 1.0463 2.7696
Sr 1.8122 1.0463 18.1457
Sb 0.0000 0.0000 0.0000
Sb 0.0000 2.0926 20.9153
Sb 1.8122 1.0463 10.4576
Mo 0.0000 0.0000 15.6865
Mo 0.0000 2.0926 5.2288
Mo 1.8122 1.0463 26.1441
```

Results
E = -48.16 eV/cell
Crystal system = trigonal
V = 119.0 Å³/f.u.
SG = R-3m, No. 166
Energy relative to the elements, uncorrected = 566 meV/atom
Magnetic moment = 5.7 μB per cell